[1]
Here is a geometry-optimized K2Li2Ag structure from Alexandria via LeMat-Bulk. Energies are from PBE-GGA.

Structure (CIF):
```
data_K2Li2Ag
_space_group_name_H-M_alt 'P 4/m b m'
_space_group_IT_number 127
_space_group_name_Hall '-P 4 2ab'
_cell_length_a 10.2106
_cell_length_b 10.2106
_cell_length_c 3.4602
_cell_angle_alpha 90.00
_cell_angle_beta 90.00
_cell_angle_gamma 90.00
loop_
_atom_site_label
_atom_site_type_symbol
_atom_site_fract_x
_atom_site_fract_y
_atom_site_fract_z
_atom_site_occupancy
K1 K 0.1984 0.3016 0.0000 1
Li1 Li 0.0956 0.5956 0.5000 1
Ag1 Ag 0.0000 0.0000 0.0000 1
```

DOS(E_F)	0.430	states/eV per atom
size of the total moment	0.00	Bohr magnetons per cell
ΔH_f (0 K)	0.3501	eV/atom
offset from the most stable computed form	0.259	eV/atom

=====

[2]
Here is a geometry-optimized BeVNi structure from Alexandria via LeMat-Bulk. Energies are from PBE-GGA.

Structure (CIF):
```
data_BeVNi
_space_group_name_H-M_alt 'P 3 m 1'
_space_group_IT_number 156
_space_group_name_Hall 'P 3 -2"'
_cell_length_a 3.8864
_cell_length_b 3.8864
_cell_length_c 2.4629
_cell_angle_alpha 90.00
_cell_angle_beta 90.00
_cell_angle_gamma 120.00
loop_
_atom_site_label
_atom_site_type_symbol
_atom_site_fract_x
_atom_site_fract_y
_atom_site_fract_z
_atom_site_occupancy
Be1 Be 0.0000 0.0000 0.0000 1
V1 V 0.6667 0.3333 0.4992 1
Ni1 Ni 0.3333 0.6667 0.9970 1
```

DOS(E_F)	0.556	states/eV per atom
size of the total moment	0.00	Bohr magnetons per cell
ΔH_f (0 K)	-0.1950	eV/atom
offset from the most stable computed form	0.034	eV/atom

=====

[3]
Here is a geometry-optimized Tb4Pm7Nd structure from Alexandria via LeMat-Bulk. Energies are from PBE-GGA.

Structure (CIF):
```
data_Tb4Pm7Nd
_space_group_name_H-M_alt 'C 1 2/m 1'
_space_group_IT_number 12
_space_group_name_Hall '-C 2y'
_cell_length_a 16.1936
_cell_length_b 6.0105
_cell_length_c 9.4393
_cell_angle_alpha 90.00
_cell_angle_beta 116.29
_cell_angle_gamma 90.00
loop_
_atom_site_label
_atom_site_type_symbol
_atom_site_fract_x
_atom_site_fract_y
_atom_site_fract_z
_atom_site_occupancy
Tb1 Tb 0.0723 0.0000 0.1978 1
Tb2 Tb 0.1712 0.0000 0.8866 1
Pm1 Pm 0.0000 0.0000 0.5000 1
Pm2 Pm 0.0844 0.5000 0.9477 1
Pm3 Pm 0.2104 0.5000 0.7339 1
Pm4 Pm 0.2143 0.5000 0.3819 1
Nd1 Nd 0.0000 0.5000 0.5000 1
```

DOS(E_F)	1.676	states/eV per atom
size of the total moment	0.11	Bohr magnetons per cell
ΔH_f (0 K)	0.2049	eV/atom
offset from the most stable computed form	0.202	eV/atom

=====

[4]
Here is a geometry-optimized SrPaMnSe4 structure from Alexandria via LeMat-Bulk. Energies are from PBE-GGA.

Structure (CIF):
```
data_SrPaMnSe4
_space_group_name_H-M_alt 'P 1 21/m 1'
_space_group_IT_number 11
_space_group_name_Hall '-P 2yb'
_cell_length_a 6.7406
_cell_length_b 6.7688
_cell_length_c 8.4801
_cell_angle_alpha 90.00
_cell_angle_beta 107.46
_cell_angle_gamma 90.00
loop_
_atom_site_label
_atom_site_type_symbol
_atom_site_fract_x
_atom_site_fract_y
_atom_site_fract_z
_atom_site_occupancy
Sr1 Sr 0.2359 0.2500 0.0539 1
Pa1 Pa 0.2316 0.2500 0.5563 1
Mn1 Mn 0.2393 0.7500 0.3254 1
Se1 Se 0.0226 0.5141 0.7265 1
Se2 Se 0.4419 0.7500 0.1329 1
Se3 Se 0.4576 0.7500 0.6083 1
```

DOS(E_F)	0.844	states/eV per atom
energy relative to the elements, uncorrected	-827	kJ/mol of formula units
size of the total moment	7.94	Bohr magnetons per cell

=====

[5]
Here is a geometry-optimized NpZnIrOs structure from Alexandria via LeMat-Bulk. Energies are from PBE-GGA.

Structure (CIF):
```
data_NpZnIrOs
_space_group_name_H-M_alt 'F -4 3 m'
_space_group_IT_number 216
_space_group_name_Hall 'F -4 2 3'
_cell_length_a 6.4734
_cell_length_b 6.4734
_cell_length_c 6.4734
_cell_angle_alpha 90.00
_cell_angle_beta 90.00
_cell_angle_gamma 90.00
loop_
_atom_site_label
_atom_site_type_symbol
_atom_site_fract_x
_atom_site_fract_y
_atom_site_fract_z
_atom_site_occupancy
Np1 Np 0.0000 0.0000 0.0000 1
Zn1 Zn 0.0000 0.0000 0.5000 1
Ir1 Ir 0.2500 0.2500 0.7500 1
Os1 Os 0.2500 0.2500 0.2500 1
```

DOS(E_F)	1.136	states/eV per atom
size of the total moment	10.57	Bohr magnetons per cell
ΔH_f (0 K)	-0.0189	eV/atom

=====

[6]
Here is a geometry-optimized Na2MgCO4 structure from Alexandria via LeMat-Bulk. Energies are from PBE-GGA.

Structure (CIF):
```
data_Na2MgCO4
_space_group_name_H-M_alt 'F d d d'
_space_group_IT_number 70
_cell_length_a 4.6591
_cell_length_b 10.0623
_cell_length_c 19.8078
_cell_angle_alpha 90.00
_cell_angle_beta 90.00
_cell_angle_gamma 90.00
loop_
_space_group_symop_operation_xyz
'x,y,z'
'-x,-y,-z'
'-x+1/4,-y+1/4,z'
'x+1/4,y+1/4,-z'
'x,-y+1/4,-z+1/4'
'-x,y+1/4,z+1/4'
'-x+1/4,y,-z+1/4'
'x+1/4,-y,z+1/4'
'x,y+1/2,z+1/2'
'-x,-y+1/2,-z+1/2'
'-x+1/4,-y+3/4,z+1/2'
'x+1/4,y+3/4,-z+1/2'
'x,-y+3/4,-z+3/4'
'-x,y+3/4,z+3/4'
'-x+1/4,y+1/2,-z+3/4'
'x+1/4,-y+1/2,z+3/4'
'x+1/2,y,z+1/2'
'-x+1/2,-y,-z+1/2'
'-x+3/4,-y+1/4,z+1/2'
'x+3/4,y+1/4,-z+1/2'
'x+1/2,-y+1/4,-z+3/4'
'-x+1/2,y+1/4,z+3/4'
'-x+3/4,y,-z+3/4'
'x+3/4,-y,z+3/4'
'x+1/2,y+1/2,z'
'-x+1/2,-y+1/2,-z'
'-x+3/4,-y+3/4,z'
'x+3/4,y+3/4,-z'
'x+1/2,-y+3/4,-z+1/4'
'-x+1/2,y+3/4,z+1/4'
'-x+3/4,y+1/2,-z+1/4'
'x+3/4,-y+1/2,z+1/4'
loop_
_atom_site_label
_atom_site_type_symbol
_atom_site_fract_x
_atom_site_fract_y
_atom_site_fract_z
_atom_site_occupancy
Na1 Na 0.1250 0.1250 0.3154 1
Mg1 Mg 0.1250 0.1250 0.1250 1
C1 C 0.1250 0.1250 0.6250 1
O1 O 0.0506 0.2897 0.8345 1
```

DOS(E_F)	0.000	states/eV per atom
energy relative to the elements, uncorrected	-1146	kJ/mol of formula units
size of the total moment	0.00	Bohr magnetons per cell

=====

[7]
Here is a geometry-optimized Th8GaTc3Te4 structure from Alexandria via LeMat-Bulk. Energies are from PBE-GGA.

Structure (CIF):
```
data_Th8GaTc3Te4
_space_group_name_H-M_alt 'R -3 m'
_space_group_IT_number 166
_space_group_name_Hall '-R 3 2"'
_cell_length_a 8.4917
_cell_length_b 8.4917
_cell_length_c 22.9121
_cell_angle_alpha 90.00
_cell_angle_beta 90.00
_cell_angle_gamma 120.00
loop_
_atom_site_label
_atom_site_type_symbol
_atom_site_fract_x
_atom_site_fract_y
_atom_site_fract_z
_atom_site_occupancy
Th1 Th 0.0000 0.0000 0.2356 1
Th2 Th 0.0165 0.5083 0.7665 1
Ga1 Ga 0.0000 0.0000 0.5000 1
Tc1 Tc 0.0000 0.5000 0.5000 1
Te1 Te 0.0000 0.0000 0.0000 1
Te2 Te 0.0000 0.5000 0.0000 1
```

DOS(E_F)	0.558	states/eV per atom
energy relative to the elements, uncorrected	-1006	kJ/mol of formula units
size of the total moment	0.00	Bohr magnetons per cell

=====

[8]
Here is a geometry-optimized K2CoNi structure from Alexandria via LeMat-Bulk. Energies are from PBE-GGA.

Structure (CIF):
```
data_K2CoNi
_space_group_name_H-M_alt 'P 4 m m'
_space_group_IT_number 99
_space_group_name_Hall 'P 4 -2'
_cell_length_a 3.3472
_cell_length_b 3.3472
_cell_length_c 9.9162
_cell_angle_alpha 90.00
_cell_angle_beta 90.00
_cell_angle_gamma 90.00
loop_
_atom_site_label
_atom_site_type_symbol
_atom_site_fract_x
_atom_site_fract_y
_atom_site_fract_z
_atom_site_occupancy
K1 K 0.0000 0.0000 0.0000 1
K2 K 0.5000 0.5000 0.4327 1
Co1 Co 0.5000 0.5000 0.7368 1
Ni1 Ni 0.0000 0.0000 0.6930 1
```

DOS(E_F)	0.890	states/eV per atom
size of the total moment	2.34	Bohr magnetons per cell
ΔH_f (0 K)	0.5990	eV/atom
offset from the most stable computed form	0.068	eV/atom